Crystalline MgTaCrO2 at its relaxed geometry. Source: Alexandria via LeMat-Bulk, functional PBE+U.

Cell: 3.926 6.312 3.926 Å, 90.00 90.00 90.00°
Last column: magnetic moment on the atom in μB.
Fractional coordinates of all 5 atoms:
1 O 0.000 0.000 0.500  0.02
2 O 0.500 0.000 0.000  0.02
3 Cr 0.500 0.500 0.500  4.42
4 Mg 0.000 0.500 0.000  0.01
5 Ta 0.000 0.000 0.000  0.02

Output
M_tot: 5.13 μB per formula unit
energy: -7.071 eV per atom